Record 1
First-principles (PBE-GGA) data for a relaxed LaP2AuS8 crystal, as listed in the Alexandria database.

Cell and atoms, written as POSCAR:
```
LaP2AuS8
1.0
6.411 0.000 0.000
-3.205 5.552 0.000
0.000 0.000 8.929
S P Au La
8 2 1 1
direct
0.842 0.158 0.227 S
0.316 0.158 0.227 S
0.684 0.842 0.773 S
0.333 0.667 0.474 S
0.667 0.333 0.526 S
0.158 0.316 0.773 S
0.842 0.684 0.227 S
0.158 0.842 0.773 S
0.667 0.333 0.301 P
0.333 0.667 0.699 P
0.000 0.000 0.000 Au
0.000 0.000 0.500 La
```

Values from the calculation:
ΔE_f (raw) = -0.33 eV/atom
symmetry = P-3m1 (164)
calculated density = 3.42 Mg/m³

Record 2
First-principles (PBE-GGA) data for a relaxed LaScP2Au crystal, as listed in the Alexandria database.

Cell and atoms, written as POSCAR:
```
LaScP2Au
1.0
4.964 0.000 0.000
0.000 5.377 0.000
0.000 0.000 4.964
P La Sc Au
2 1 1 1
direct
0.000 0.000 0.500 P
0.500 0.000 0.000 P
0.000 0.500 0.000 La
0.500 0.500 0.500 Sc
0.000 0.000 0.000 Au
```

Values from the calculation:
E_tot = -4.68 eV/atom
symmetry = P4/mmm (123)
calculated density = 5.55 Mg/m³

Record 3
First-principles (PBE-GGA) data for a relaxed La4PAuSe2 crystal, as listed in the Alexandria database.

Cell and atoms, written as POSCAR:
```
La4PAuSe2
1.0
-1.854 -0.803 3.783
0.209 -7.358 -1.458
6.511 -2.822 2.592
P Au La Se
1 1 4 2
direct
0.000 0.500 0.500 P
0.500 0.500 0.000 Au
0.500 0.742 0.264 La
0.500 0.258 0.736 La
0.000 0.749 0.740 La
0.000 0.251 0.260 La
0.000 0.000 0.000 Se
0.500 0.000 0.500 Se
```

Values from the calculation:
ΔE_f (raw) = -1.57 eV/atom
symmetry = P2/m (10)
calculated density = 6.80 Mg/m³

Record 4
First-principles (PBE-GGA) data for a relaxed La4Te2PAu crystal, as listed in the Alexandria database.

Cell and atoms, written as POSCAR:
```
La4Te2PAu
1.0
4.384 0.000 0.000
0.000 7.779 0.177
0.000 -2.677 7.331
La Te Au P
4 2 1 1
direct
0.500 0.229 0.224 La
0.000 0.752 0.229 La
0.000 0.248 0.771 La
0.500 0.771 0.776 La
0.000 0.500 0.500 Te
0.500 0.000 0.500 Te
0.500 0.500 0.000 Au
0.000 0.000 0.000 P
```

Values from the calculation:
ΔE_f (raw) = -1.38 eV/atom
symmetry = P2/m (10)
calculated density = 6.84 Mg/m³

Record 5
First-principles (PBE-GGA) data for a relaxed LaTlP2Au crystal, as listed in the Alexandria database.

Cell and atoms, written as POSCAR:
```
LaTlP2Au
1.0
-1.724 -1.348 4.477
-0.413 -4.709 -1.577
5.814 -1.144 1.894
P Au Tl La
2 1 1 1
direct
0.000 0.500 0.000 P
0.500 0.000 0.000 P
0.500 0.500 0.500 Au
0.000 0.000 0.000 Tl
0.000 0.000 0.500 La
```

Values from the calculation:
E_tot = -3.52 eV/atom
symmetry = P4/mmm (123)
calculated density = 6.47 Mg/m³

Record 6
First-principles (PBE-GGA) data for a relaxed La2ZnPAu crystal, as listed in the Alexandria database.

Cell and atoms, written as POSCAR:
```
La2ZnPAu
1.0
-5.083 -1.379 -2.023
1.871 -1.809 -3.467
0.259 -4.939 2.717
Zn La P Au
1 2 1 1
direct
0.000 0.000 0.000 Zn
0.500 0.000 0.000 La
0.000 0.000 0.500 La
0.000 0.500 0.000 P
0.500 0.500 0.500 Au
```

Values from the calculation:
E_tot = -4.12 eV/atom
symmetry = P4/mmm (123)
calculated density = 6.87 Mg/m³